! MgVC2O6 | Alexandria via LeMat-Bulk | PBE+U | optimized geometry; values from VASP
&SYSTEM
  ibrav = 0, nat = 10, ntyp = 4
/
ATOMIC_SPECIES
Mg 24.30 Mg.upf
V 50.94 V.upf
C 12.01 C.upf
O 16.00 O.upf
ATOMIC_POSITIONS crystal
Mg 0.000 0.000 0.000
V 0.500 0.500 0.500
C 0.252 0.252 0.252
C 0.748 0.748 0.748
O 0.017 0.471 0.758
O 0.242 0.983 0.529
O 0.471 0.758 0.017
O 0.529 0.242 0.983
O 0.758 0.017 0.471
O 0.983 0.529 0.242
CELL_PARAMETERS angstrom
2.374 1.371 5.114
-2.374 1.371 5.114
0.000 -2.742 5.114
! - DFT total energy: -7.54 eV per atom